(a)
# PaBRh2 (PBE-GGA, optimized geometry)
# Crystal system ... trigonal
# Density of states at the Fermi level ... 0.9196 states/eV/atom
# M_tot ... 0.0 μB/cell
data_PaBRh2
_symmetry_space_group_name_H-M 'R -3 m'
_symmetry_Int_Tables_number 166
_symmetry_space_group_name_Hall '-R 3 2"'
_cell_length_a 3.8161
_cell_length_b 3.8161
_cell_length_c 15.0183
_cell_angle_alpha 90.00
_cell_angle_beta 90.00
_cell_angle_gamma 120.00
loop_
_atom_site_label
_atom_site_fract_x
_atom_site_fract_y
_atom_site_fract_z
_atom_site_occupancy
Pa1 0.0000 0.0000 0.0000 1
B1 0.0000 0.0000 0.5000 1
Rh1 0.0000 0.0000 0.2192 1

(b)
# PaBRh2 (PBE-GGA, optimized geometry)
# Crystal system ... monoclinic
# Density of states at the Fermi level ... 0.6366 states/eV/atom
# M_tot ... 0.0 μB/cell
data_PaBRh2
_symmetry_space_group_name_H-M 'P 1 21/m 1'
_symmetry_Int_Tables_number 11
_cell_length_a 3.682
_cell_length_b 6.714
_cell_length_c 5.243
_cell_angle_alpha 90.00
_cell_angle_beta 110.51
_cell_angle_gamma 90.00
loop_
_symmetry_equiv_pos_as_xyz
'x,y,z'
'-x,-y,-z'
'-x,y+1/2,-z'
'x,-y+1/2,z'
loop_
_atom_site_label
_atom_site_fract_x
_atom_site_fract_y
_atom_site_fract_z
_atom_site_occupancy
Pa1 0.068 0.250 0.134 1
B1 0.219 0.750 0.438 1
Rh1 0.352 0.046 0.704 1

Which one sits at the top of the stability order? (b) does.

(a)
# PaBRh3 (PBE-GGA, optimized geometry)
# Crystal system ... cubic
# Density of states at the Fermi level ... 1.1206 states/eV/atom
# M_tot ... 0.8 μB/cell
data_PaBRh3
_symmetry_space_group_name_H-M 'P m -3 m'
_symmetry_Int_Tables_number 221
_symmetry_space_group_name_Hall '-P 4 2 3'
_cell_length_a 4.241
_cell_length_b 4.241
_cell_length_c 4.241
_cell_angle_alpha 90.00
_cell_angle_beta 90.00
_cell_angle_gamma 90.00
loop_
_atom_site_label
_atom_site_fract_x
_atom_site_fract_y
_atom_site_fract_z
_atom_site_occupancy
Pa1 0.000 0.000 0.000 1
B1 0.500 0.500 0.500 1
Rh1 0.000 0.500 0.500 1

(b)
# PaBRh3 (PBE-GGA, optimized geometry)
# Crystal system ... orthorhombic
# Density of states at the Fermi level ... 0.5473 states/eV/atom
# M_tot ... 0.0 μB/cell
data_PaBRh3
_symmetry_space_group_name_H-M 'P n m a'
_symmetry_Int_Tables_number 62
_cell_length_a 8.212
_cell_length_b 3.881
_cell_length_c 9.453
_cell_angle_alpha 90.00
_cell_angle_beta 90.00
_cell_angle_gamma 90.00
loop_
_symmetry_equiv_pos_as_xyz
'x,y,z'
'-x,-y,-z'
'-x+1/2,-y,z+1/2'
'x+1/2,y,-z+1/2'
'x+1/2,-y+1/2,-z+1/2'
'-x+1/2,y+1/2,z+1/2'
'-x,y+1/2,-z'
'x,-y+1/2,z'
loop_
_atom_site_label
_atom_site_fract_x
_atom_site_fract_y
_atom_site_fract_z
_atom_site_occupancy
Pa1 0.195 0.250 0.006 1
B1 0.109 0.250 0.664 1
Rh1 0.083 0.250 0.431 1
Rh2 0.115 0.750 0.215 1
Rh3 0.137 0.750 0.781 1

Which one sits at the top of the stability order? (a) does.

(a)
# PaB2Rh (PBE-GGA, optimized geometry)
# Crystal system ... orthorhombic
# Density of states at the Fermi level ... 0.5663 states/eV/atom
# M_tot ... 0.0 μB/cell
data_PaB2Rh
_symmetry_space_group_name_H-M 'P n m a'
_symmetry_Int_Tables_number 62
_cell_length_a 5.857
_cell_length_b 3.740
_cell_length_c 9.594
_cell_angle_alpha 90.00
_cell_angle_beta 90.00
_cell_angle_gamma 90.00
loop_
_symmetry_equiv_pos_as_xyz
'x,y,z'
'-x,-y,-z'
'-x+1/2,-y,z+1/2'
'x+1/2,y,-z+1/2'
'x+1/2,-y+1/2,-z+1/2'
'-x+1/2,y+1/2,z+1/2'
'-x,y+1/2,-z'
'x,-y+1/2,z'
loop_
_atom_site_label
_atom_site_fract_x
_atom_site_fract_y
_atom_site_fract_z
_atom_site_occupancy
Pa1 0.139 0.250 0.132 1
B1 0.015 0.250 0.681 1
B2 0.213 0.250 0.821 1
Rh1 0.139 0.250 0.436 1

(b)
# PaB2Rh (PBE-GGA, optimized geometry)
# Crystal system ... trigonal
# Density of states at the Fermi level ... 0.7549 states/eV/atom
# M_tot ... 0.0 μB/cell
data_PaB2Rh
_symmetry_space_group_name_H-M 'R -3 m'
_symmetry_Int_Tables_number 166
_symmetry_space_group_name_Hall '-R 3 2"'
_cell_length_a 3.7535
_cell_length_b 3.7535
_cell_length_c 13.1836
_cell_angle_alpha 90.00
_cell_angle_beta 90.00
_cell_angle_gamma 120.00
loop_
_atom_site_label
_atom_site_fract_x
_atom_site_fract_y
_atom_site_fract_z
_atom_site_occupancy
Pa1 0.0000 0.0000 0.0000 1
B1 0.0000 0.0000 0.2124 1
Rh1 0.0000 0.0000 0.5000 1

Which one sits at the top of the stability order? (a) does.